[1]
The following is a PBE calculation of a relaxed B3C5 crystal, from Alexandria.

abc: 9.668 9.668 9.668
angles: 15.76 15.76 15.76
Positions (direct):
B  0.000  0.000  0.000
B  0.111  0.111  0.111
B  0.842  0.842  0.842
C  0.268  0.268  0.268
C  0.325  0.325  0.325
C  0.531  0.531  0.531
C  0.583  0.583  0.583
C  0.782  0.782  0.782

V	7.3	Å³/atom
E_tot	-7.9947	eV per atom
energy relative to the elements	274	meV/atom
crystal system	trigonal
space group	R3m

***

[2]
The following is a PBE calculation of a relaxed B7C5 crystal, from Alexandria.

abc: 8.503 8.503 4.700
angles: 105.96 105.96 18.39
Positions (direct):
B  0.000  0.000  0.000
B  0.160  0.160  0.804
B  0.265  0.265  0.268
B  0.502  0.502  0.498
B  0.602  0.602  0.921
B  0.657  0.657  0.377
B  0.767  0.767  0.769
C  0.014  0.014  0.347
C  0.112  0.112  0.429
C  0.259  0.259  0.928
C  0.506  0.506  0.840
C  0.756  0.756  0.424

V	8.6	Å³/atom
E_tot	-7.5219	eV per atom
energy relative to the elements	217	meV/atom
crystal system	monoclinic
space group	Cm